The following is a PBE+U calculation of crystalline KCoIrO6 at its relaxed geometry, from Alexandria via LeMat-Bulk.

Structure (extended XYZ):
```
9
Lattice="5.0941 0.0000 0.0000 -2.5470 4.4116 0.0000 0.0000 0.0000 5.9679" Properties=species:S:1:pos:R:3 pbc="T T T"
K 0.0000 0.0000 0.0000
Co 0.0000 2.9411 2.9840
Ir 2.5470 1.4705 2.9840
O -0.9827 1.7402 4.0374
O -1.5313 2.6905 1.9306
O 0.9827 1.7402 1.9306
O -0.5486 4.3926 4.0374
O 1.5313 2.6905 4.0374
O 0.5486 4.3926 1.9306
```

Values from the calculation:
DFT total energy = -52.254 eV per cell
Total magnetic moment = 1.03 μB/f.u.
Symmetry = No. 149